# 1
Material: Sb2AsAu
Method: DFT, PBE
State: optimized geometry

Lattice parameters (Å, degrees): 6.267 6.267 6.267 141.51 141.51 55.57
Positions (direct):
Sb (0.000, 0.000, 0.000)
Sb (0.750, 0.250, 0.500)
As (0.250, 0.750, 0.500)
Au (0.500, 0.500, 0.000)

Computed properties:
total energy: -15.1 eV for the cell shown
symmetry: No. 119

***

# 2
Material: Sb2AsAu
Method: DFT, PBE
State: optimized geometry

Lattice parameters (Å, degrees): 3.097 3.097 9.806 90.00 90.00 90.00
Positions (direct):
Sb (0.000, 0.000, 0.000)
Sb (0.500, 0.500, 0.303)
As (0.000, 0.000, 0.577)
Au (0.500, 0.500, 0.767)

Computed properties:
total energy: -15.1 eV for the cell shown
symmetry: No. 99

***

# 3
Material: SbAs2Au2
Method: DFT, PBE
State: optimized geometry

Lattice parameters (Å, degrees): 7.884 7.884 3.329 90.00 90.00 90.00
Positions (direct):
Sb (0.000, 0.000, 0.000)
Sb (0.500, 0.500, 0.000)
As (0.157, 0.343, 0.500)
As (0.343, 0.843, 0.500)
As (0.657, 0.157, 0.500)
As (0.843, 0.657, 0.500)
Au (0.140, 0.640, 0.000)
Au (0.360, 0.140, 0.000)
Au (0.640, 0.860, 0.000)
Au (0.860, 0.360, 0.000)

Computed properties:
total energy: -37.4 eV for the cell shown
symmetry: No. 127

***

# 4
Material: Sb3As5Au12
Method: DFT, PBE
State: optimized geometry

Lattice parameters (Å, degrees): 13.488 13.488 13.488 109.47 109.47 109.47
Positions (direct):
Sb (0.125, 0.250, 0.375)
Sb (0.125, 0.375, 0.750)
Sb (0.250, 0.375, 0.125)
Sb (0.250, 0.875, 0.625)
Sb (0.375, 0.125, 0.250)
Sb (0.375, 0.750, 0.125)
Sb (0.625, 0.250, 0.875)
Sb (0.625, 0.875, 0.750)
Sb (0.750, 0.125, 0.375)
Sb (0.750, 0.625, 0.875)
Sb (0.875, 0.625, 0.250)
Sb (0.875, 0.750, 0.625)
As (0.000, 0.000, 0.000)
As (0.000, 0.000, 0.500)
As (0.000, 0.500, 0.000)
As (0.000, 0.500, 0.500)
As (0.125, 0.750, 0.875)
As (0.125, 0.875, 0.250)
As (0.250, 0.125, 0.875)
As (0.250, 0.625, 0.375)
As (0.375, 0.250, 0.625)
As (0.375, 0.625, 0.750)
As (0.500, 0.000, 0.000)
As (0.500, 0.000, 0.500)
As (0.500, 0.500, 0.000)
As (0.500, 0.500, 0.500)
As (0.625, 0.375, 0.250)
As (0.625, 0.750, 0.375)
As (0.750, 0.375, 0.625)
As (0.750, 0.875, 0.125)
As (0.875, 0.125, 0.750)
As (0.875, 0.250, 0.125)
Au (0.052, 0.224, 0.129)
Au (0.052, 0.328, 0.923)
Au (0.077, 0.629, 0.406)
Au (0.077, 0.948, 0.672)
Au (0.094, 0.724, 0.672)
Au (0.094, 0.871, 0.423)
Au (0.129, 0.052, 0.224)
Au (0.129, 0.577, 0.906)
Au (0.172, 0.224, 0.594)
Au (0.172, 0.448, 0.577)
Au (0.224, 0.129, 0.052)
Au (0.224, 0.594, 0.172)
Au (0.276, 0.328, 0.906)
Au (0.276, 0.448, 0.371)
Au (0.328, 0.906, 0.276)
Au (0.328, 0.923, 0.052)
Au (0.371, 0.276, 0.448)
Au (0.371, 0.594, 0.923)
Au (0.406, 0.077, 0.629)
Au (0.406, 0.828, 0.776)
Au (0.423, 0.094, 0.871)
Au (0.423, 0.828, 0.552)
Au (0.448, 0.371, 0.276)
Au (0.448, 0.577, 0.172)
Au (0.552, 0.423, 0.828)
Au (0.552, 0.629, 0.724)
Au (0.577, 0.172, 0.448)
Au (0.577, 0.906, 0.129)
Au (0.594, 0.172, 0.224)
Au (0.594, 0.923, 0.371)
Au (0.629, 0.406, 0.077)
Au (0.629, 0.724, 0.552)
Au (0.672, 0.077, 0.948)
Au (0.672, 0.094, 0.724)
Au (0.724, 0.552, 0.629)
Au (0.724, 0.672, 0.094)
Au (0.776, 0.406, 0.828)
Au (0.776, 0.871, 0.948)
Au (0.828, 0.552, 0.423)
Au (0.828, 0.776, 0.406)
Au (0.871, 0.423, 0.094)
Au (0.871, 0.948, 0.776)
Au (0.906, 0.129, 0.577)
Au (0.906, 0.276, 0.328)
Au (0.923, 0.052, 0.328)
Au (0.923, 0.371, 0.594)
Au (0.948, 0.672, 0.077)
Au (0.948, 0.776, 0.871)

Computed properties:
total energy: -288.8 eV for the cell shown
symmetry: No. 230

***

# 5
Material: SbAsAuSe2
Method: DFT, PBE
State: optimized geometry

Lattice parameters (Å, degrees): 5.136 5.136 4.918 90.00 90.00 90.00
Positions (direct):
Sb (0.000, 0.000, 0.000)
As (0.500, 0.500, 0.000)
Au (0.500, 0.500, 0.500)
Se (0.000, 0.500, 0.500)
Se (0.500, 0.000, 0.500)

Computed properties:
total energy: -16.0 eV for the cell shown
symmetry: No. 123

***

# 6
Material: SbAs2AuSe
Method: DFT, PBE
State: optimized geometry

Lattice parameters (Å, degrees): 5.006 5.006 5.148 90.00 90.00 90.00
Positions (direct):
Sb (0.000, 0.000, 0.000)
As (0.000, 0.500, 0.500)
As (0.500, 0.000, 0.500)
Au (0.500, 0.500, 0.500)
Se (0.500, 0.500, 0.000)

Computed properties:
total energy: -16.7 eV for the cell shown
symmetry: No. 123

***

Table of N(E_F) (states/eV per cell), in record order: 2.000 1.140 6.846 59.443 4.392 5.869
Table of energy relative to the elements, uncorrected (eV per atom), in record order: 0.2772 0.2633 0.2513 0.1365 0.5970 0.6985